PuMoO5: optimized geometry, PBE+U.

Cell: 3.8973 6.6210 8.1774 Å, 90.00 90.00 90.00°
Sites, in units of the cell vectors:
Pu  0.0000  0.0000  0.0000
Pu  0.5000  0.5000  0.5000
Mo  0.0000  0.0000  0.5000
Mo  0.5000  0.5000  0.0000
O  0.0000  0.0000  0.2760
O  0.0000  0.0000  0.7240
O  0.0000  0.3158  0.0000
O  0.0000  0.5000  0.5000
O  0.0000  0.6842  0.0000
O  0.5000  0.0000  0.0000
O  0.5000  0.1842  0.5000
O  0.5000  0.5000  0.2240
O  0.5000  0.5000  0.7760
O  0.5000  0.8158  0.5000

Values from the calculation:
**E**: -119.99 eV for the cell shown